# 1
Crystalline BeTe2Se at its relaxed geometry. Source: the Alexandria database, functional GGA-PBE.

It has space group I-4m2 (No. 119), with a = 3.8372 Å, b = 3.8372 Å, c = 17.8985 Å, α = 90.00°, β = 90.00° and γ = 90.00°. The asymmetric unit holds Be at (0.0000, 0.0000, 0.0000), Te at (0.0000, 0.0000, 0.5000), Te at (0.0000, 0.5000, 0.2500) and Se at (0.0000, 0.5000, 0.7500).

The energy above the most stable polymorph in this dataset comes out at 389.7 meV per atom. As for the total energy: -2.99 eV/atom. The energy relative to the elements, uncorrected comes out at 0.388 eV/atom. The theoretical density comes out at 4.3 g cm⁻³.

***

# 2
Crystalline SiB2H at its relaxed geometry. Source: the Alexandria database, functional GGA-PBE.

It has space group Fm-3m (No. 225), with a = 4.9671 Å, b = 4.9671 Å, c = 4.9671 Å, α = 90.00°, β = 90.00° and γ = 90.00°. The asymmetric unit holds Si at (0.0000, 0.0000, 0.0000), B at (0.2500, 0.2500, 0.2500) and H at (0.0000, 0.0000, 0.5000).

The energy above the most stable polymorph in this dataset comes out at 658.0 meV per atom. As for the total energy: -4.25 eV/atom. The theoretical density comes out at 2.7 g cm⁻³.

***

# 3
Crystalline PmAl5Pt2 at its relaxed geometry. Source: the Alexandria database, functional GGA-PBE.

It has space group Immm (No. 71), with a = 4.0691 Å, b = 7.3337 Å, c = 9.8839 Å, α = 90.00°, β = 90.00° and γ = 90.00°. The asymmetric unit holds Pm at (0.0000, 0.0000, 0.0000), Al at (0.0000, 0.1898, 0.3506), Al at (0.0000, 0.5000, 0.0000) and Pt at (0.0000, 0.5000, 0.2449).

As for the formation energy from the elements: -867 meV per atom. As for the total energy: -5.31 eV/atom. The theoretical density comes out at 7.5 g cm⁻³.

***

# 4
Crystalline DyPuTlTc at its relaxed geometry. Source: the Alexandria database, functional GGA-PBE.

It has space group P4mm (No. 99), with a = 3.3244 Å, b = 3.3244 Å, c = 8.5426 Å, α = 90.00°, β = 90.00° and γ = 90.00°. The asymmetric unit holds Dy at (0.0000, 0.0000, 0.0000), Pu at (0.0000, 0.0000, 0.5914), Tl at (0.5000, 0.5000, 0.2955) and Tc at (0.5000, 0.5000, 0.7840).

As for the formation energy from the elements: -88 meV per atom. As for the total energy: -8.01 eV/atom. The theoretical density comes out at 12.5 g cm⁻³.

***

# 5
Crystalline ZrAlAs2 at its relaxed geometry. Source: the Alexandria database, functional GGA-PBE.

It has space group R3m (No. 160, hexagonal axes), with a = 3.7471 Å, b = 3.7471 Å, c = 19.3702 Å, α = 90.00°, β = 90.00° and γ = 120.00°. The asymmetric unit holds Zr at (0.0000, 0.0000, 0.0000), Al at (0.0000, 0.0000, 0.1645), As at (0.0000, 0.0000, 0.5716) and As at (0.0000, 0.0000, 0.7528).

As for the formation energy from the elements: -595 meV per atom. As for the total energy: -5.99 eV/atom. The theoretical density comes out at 5.7 g cm⁻³.

***

# 6
Crystalline Pm2Sn2Ir at its relaxed geometry. Source: the Alexandria database, functional GGA-PBE.

It has space group Ibam (No. 72), with a = 6.3776 Å, b = 13.4128 Å, c = 6.1512 Å, α = 90.00°, β = 90.00° and γ = 90.00°. The asymmetric unit holds Pm at (0.2100, 0.1627, 0.0000), Sn at (0.1846, 0.4160, 0.0000) and Ir at (0.0000, 0.0000, 0.2500).

The energy above the most stable polymorph in this dataset comes out at 151.8 meV per atom. As for the formation energy from the elements: -630 meV per atom. As for the total energy: -5.90 eV/atom. The theoretical density comes out at 9.1 g cm⁻³.

***

# 7
Crystalline Ta2MnIn2S6 at its relaxed geometry. Source: the Alexandria database, functional GGA-PBE.

It has space group C2/m (No. 12), with a = 5.8068 Å, b = 10.2996 Å, c = 8.2560 Å, α = 90.00°, β = 102.39° and γ = 90.00°. The asymmetric unit holds Ta at (0.0000, 0.1409, 0.0000), Mn at (0.0000, 0.5000, 0.0000), In at (0.0000, 0.2218, 0.5000), S at (0.1022, 0.3354, 0.8296) and S at (0.1310, 0.0000, 0.7997).

As for the total energy: -6.43 eV/atom. The energy relative to the elements, uncorrected comes out at -0.693 eV/atom. The theoretical density comes out at 5.8 g cm⁻³.

***

# 8
Crystalline Ba2AgHg4Au3 at its relaxed geometry. Source: the Alexandria database, functional GGA-PBE.

It has space group P-4m2 (No. 115), with a = 4.7799 Å, b = 4.7799 Å, c = 12.0519 Å, α = 90.00°, β = 90.00° and γ = 90.00°. The asymmetric unit holds Ba at (0.0000, 0.5000, 0.2476), Ag at (0.5000, 0.5000, 0.0000), Hg at (0.0000, 0.0000, 0.5000), Hg at (0.0000, 0.5000, 0.8715), Hg at (0.5000, 0.5000, 0.5000), Au at (0.0000, 0.0000, 0.0000) and Au at (0.0000, 0.5000, 0.6401).

As for the formation energy from the elements: -390 meV per atom. As for the total energy: -2.16 eV/atom. The theoretical density comes out at 10.7 g cm⁻³.

***

# 9
Crystalline Cs3RbMg2Cl8 at its relaxed geometry. Source: the Alexandria database, functional GGA-PBE.

It has space group P-3m1 (No. 164), with a = 7.9341 Å, b = 7.9341 Å, c = 9.9521 Å, α = 90.00°, β = 90.00° and γ = 120.00°. The asymmetric unit holds Cs at (0.0000, 0.0000, 0.0000), Cs at (0.3333, 0.6667, 0.6361), Rb at (0.0000, 0.0000, 0.5000), Mg at (0.3333, 0.6667, 0.2043), Cl at (0.1761, 0.3522, 0.2974) and Cl at (0.3333, 0.6667, 0.9713).

As for the total energy: -3.46 eV/atom. The energy relative to the elements, uncorrected comes out at -1.929 eV/atom. The theoretical density comes out at 2.5 g cm⁻³.

***

# 10
Crystalline KTl2SiRu at its relaxed geometry. Source: the Alexandria database, functional GGA-PBE.

It has space group P4/mmm (No. 123), with a = 5.5128 Å, b = 5.5128 Å, c = 4.6092 Å, α = 90.00°, β = 90.00° and γ = 90.00°. The asymmetric unit holds K at (0.0000, 0.0000, 0.0000), Tl at (0.0000, 0.5000, 0.5000), Si at (0.5000, 0.5000, 0.5000) and Ru at (0.5000, 0.5000, 0.0000).

As for the total energy: -3.62 eV/atom. The energy relative to the elements, uncorrected comes out at 0.490 eV/atom. The theoretical density comes out at 6.8 g cm⁻³.

***

# 11
Crystalline NaHfRh3 at its relaxed geometry. Source: the Alexandria database, functional GGA-PBE.

It has space group Pm-3m (No. 221), with a = 4.8445 Å, b = 4.8445 Å, c = 4.8445 Å, α = 90.00°, β = 90.00° and γ = 90.00°. The asymmetric unit holds Na at (0.0000, 0.0000, 0.0000), Hf at (0.5000, 0.5000, 0.5000) and Rh at (0.0000, 0.5000, 0.5000).

The energy above the most stable polymorph in this dataset comes out at 0.0 meV per atom. As for the formation energy from the elements: 565 meV per atom. As for the total energy: -6.10 eV/atom. The theoretical density comes out at 7.5 g cm⁻³.

***

# 12
Crystalline SiTePtRh2 at its relaxed geometry. Source: the Alexandria database, functional GGA-PBE.

It has space group P4/mmm (No. 123), with a = 4.7829 Å, b = 4.7829 Å, c = 4.9843 Å, α = 90.00°, β = 90.00° and γ = 90.00°. The asymmetric unit holds Si at (0.0000, 0.0000, 0.0000), Te at (0.0000, 0.0000, 0.5000), Pt at (0.5000, 0.5000, 0.0000) and Rh at (0.0000, 0.5000, 0.5000).

As for the total energy: -4.55 eV/atom. The energy relative to the elements, uncorrected comes out at 1.316 eV/atom. The theoretical density comes out at 8.1 g cm⁻³.

***

- Number 12 is which compound?
  SiTePtRh2

***

- Among the records above, which one has the lowest theoretical density?
  Cs3RbMg2Cl8

***

- Among the records above, which one has the highest theoretical density?
  DyPuTlTc